Record 1
An optimized crystal structure of Ta5Cr, computed with GGA-PBEsol.

Its spin magnetization is 0.0 μB per formula unit. The value obtained for the calculated density is 15.94 g/cm³. For the final energy, the calculation gives -12.12 eV/atom.

The structure belongs to space group Cmmm (No. 65); the cell edges are 3.2051, 13.4787 and 4.6154 Å and the angles 90.00°, 90.00° and 90.00°. Symmetry generates all atoms from Ta at (0.0000, 0.0000, 0.0000), Ta at (0.0000, 0.1567, 0.5000), Ta at (0.0000, 0.3338, 0.0000) and Cr at (0.0000, 0.5000, 0.5000).



Record 2
An optimized crystal structure of TaCrTc2, computed with GGA-PBEsol.

Its spin magnetization is 0.0 μB per formula unit. The value obtained for the calculated density is 12.48 g/cm³. For the final energy, the calculation gives -11.31 eV/atom.

The structure belongs to space group C2/m (No. 12); the cell edges are 5.3029, 8.5184 and 2.7040 Å and the angles 90.00°, 110.88° and 90.00°. Symmetry generates all atoms from Ta at (0.0000, 0.0000, 0.0000), Cr at (0.0000, 0.5000, 0.0000) and Tc at (0.2500, 0.2500, 0.5000).



Record 3
An optimized crystal structure of Ta2CrTc, computed with GGA-PBEsol.

Its spin magnetization is 0.0 μB per formula unit. The value obtained for the calculated density is 14.16 g/cm³. For the final energy, the calculation gives -11.91 eV/atom.

The structure belongs to space group P4/mmm (No. 123); the cell edges are 3.1061, 3.1061 and 6.2228 Å and the angles 90.00°, 90.00° and 90.00°. Symmetry generates all atoms from Ta at (0.0000, 0.0000, 0.2442), Cr at (0.5000, 0.5000, 0.0000) and Tc at (0.5000, 0.5000, 0.5000).



Record 4
An optimized crystal structure of TaCrTc2, computed with GGA-PBEsol.

Its spin magnetization is 0.0 μB per formula unit. The value obtained for the calculated density is 12.48 g/cm³. For the final energy, the calculation gives -11.23 eV/atom.

The structure belongs to space group Cmm2 (No. 35); the cell edges are 3.0597, 4.4161 and 8.4460 Å and the angles 90.00°, 90.00° and 90.00°. Symmetry generates all atoms from Ta at (0.0000, 0.0000, 0.0000), Cr at (0.0000, 0.5000, 0.7485), Tc at (0.0000, 0.0000, 0.5213) and Tc at (0.0000, 0.5000, 0.2644).



Record 5
An optimized crystal structure of Ta2CrTc, computed with GGA-PBEsol.

Its spin magnetization is 0.0 μB per formula unit. The value obtained for the calculated density is 14.07 g/cm³. For the final energy, the calculation gives -11.75 eV/atom.

The structure belongs to space group P4mm (No. 99); the cell edges are 3.0996, 3.0996 and 6.2862 Å and the angles 90.00°, 90.00° and 90.00°. Symmetry generates all atoms from Ta at (0.0000, 0.0000, 0.0000), Ta at (0.5000, 0.5000, 0.2792), Cr at (0.5000, 0.5000, 0.7592) and Tc at (0.0000, 0.0000, 0.5307).



Record 6
An optimized crystal structure of Ta2CrTe, computed with GGA-PBEsol.

Its spin magnetization is 0.6 μB per formula unit. For the raw formation energy, the calculation gives 7.223 kcal/mol of atoms. The value obtained for the calculated density is 13.25 g/cm³.

The structure belongs to space group Cmmm (No. 65); the cell edges are 5.6600, 7.3146 and 3.2792 Å and the angles 90.00°, 90.00° and 90.00°. Symmetry generates all atoms from Ta at (0.2500, 0.2500, 0.0000), Cr at (0.0000, 0.0000, 0.5000) and Te at (0.0000, 0.5000, 0.5000).



Record 7
An optimized crystal structure of Ta2CrTe, computed with GGA-PBEsol.

Its spin magnetization is 0.0 μB per formula unit. For the raw formation energy, the calculation gives 8.619 kcal/mol of atoms. The value obtained for the calculated density is 12.69 g/cm³.

The structure belongs to space group R-3m (No. 166, hexagonal axes); the cell edges are 3.1861, 3.1861 and 24.1739 Å and the angles 90.00°, 90.00° and 120.00°. Symmetry generates all atoms from Ta at (0.0000, 0.0000, 0.2395), Cr at (0.0000, 0.0000, 0.5000) and Te at (0.0000, 0.0000, 0.0000).



Record 8
An optimized crystal structure of Ta2CrTe, computed with GGA-PBEsol.

Its spin magnetization is 1.0 μB per formula unit. For the raw formation energy, the calculation gives 4.415 kcal/mol of atoms. The value obtained for the calculated density is 13.54 g/cm³.

The structure belongs to space group Immm (No. 71); the cell edges are 3.3691, 4.4368 and 8.8863 Å and the angles 90.00°, 90.00° and 90.00°. Symmetry generates all atoms from Ta at (0.0000, 0.0000, 0.2403), Cr at (0.0000, 0.5000, 0.5000) and Te at (0.0000, 0.5000, 0.0000).



Record 9
An optimized crystal structure of TaCrTe, computed with GGA-PBEsol.

Its spin magnetization is 0.1 μB per formula unit. For the raw formation energy, the calculation gives 18.836 kcal/mol of atoms. The value obtained for the calculated density is 10.07 g/cm³.

The structure belongs to space group F-43m (No. 216); the cell edges are 6.1960, 6.1960 and 6.1960 Å and the angles 90.00°, 90.00° and 90.00°. Symmetry generates all atoms from Ta at (0.0000, 0.0000, 0.0000), Cr at (0.2500, 0.2500, 0.2500) and Te at (0.2500, 0.2500, 0.7500).



Record 10
An optimized crystal structure of TaCrTe2, computed with GGA-PBEsol.

Its spin magnetization is 4.9 μB per formula unit. For the raw formation energy, the calculation gives 6.066 kcal/mol of atoms. The value obtained for the calculated density is 9.36 g/cm³.

The structure belongs to space group R-3m (No. 166, hexagonal axes); the cell edges are 3.5807, 3.5807 and 23.3914 Å and the angles 90.00°, 90.00° and 120.00°. Symmetry generates all atoms from Ta at (0.0000, 0.0000, 0.0000), Cr at (0.0000, 0.0000, 0.5000) and Te at (0.0000, 0.0000, 0.2514).



Record 11
An optimized crystal structure of Ta3CrTe, computed with GGA-PBEsol.

Its spin magnetization is 2.6 μB per formula unit. For the raw formation energy, the calculation gives 48.472 kcal/mol of atoms. The value obtained for the calculated density is 10.00 g/cm³.

The structure belongs to space group Pm-3m (No. 221); the cell edges are 4.9314, 4.9314 and 4.9314 Å and the angles 90.00°, 90.00° and 90.00°. Symmetry generates all atoms from Ta at (0.0000, 0.0000, 0.5000), Cr at (0.5000, 0.5000, 0.5000) and Te at (0.0000, 0.0000, 0.0000).



Record 12
An optimized crystal structure of TaCrTe2, computed with GGA-PBEsol.

Its spin magnetization is 3.0 μB per formula unit. For the raw formation energy, the calculation gives 3.679 kcal/mol of atoms. The value obtained for the calculated density is 9.81 g/cm³.

The structure belongs to space group Imm2 (No. 44); the cell edges are 3.5376, 3.7791 and 12.3630 Å and the angles 90.00°, 90.00° and 90.00°. Symmetry generates all atoms from Ta at (0.0000, 0.0000, 0.0000), Cr at (0.0000, 0.5000, 0.2871), Te at (0.0000, 0.0000, 0.6001) and Te at (0.0000, 0.5000, 0.8383).



Which value of calculated density does entry 5 give? 14.07 g/cm³



Repeat the tenth record exactly.
An optimized crystal structure of TaCrTe2, computed with GGA-PBEsol.

Its spin magnetization is 4.9 μB per formula unit. For the raw formation energy, the calculation gives 6.066 kcal/mol of atoms. The value obtained for the calculated density is 9.36 g/cm³.

The structure belongs to space group R-3m (No. 166, hexagonal axes); the cell edges are 3.5807, 3.5807 and 23.3914 Å and the angles 90.00°, 90.00° and 120.00°. Symmetry generates all atoms from Ta at (0.0000, 0.0000, 0.0000), Cr at (0.0000, 0.0000, 0.5000) and Te at (0.0000, 0.0000, 0.2514).



Among the records above, which one has the lowest calculated density? number 10